Density functional theory data (PBE-GGA) for a relaxed Li3Ac2In crystal.

abc: 3.782 5.233 17.907
angles: 90.00 90.00 90.00
Atoms (fractional coordinates):
Li1 0.000 0.000 0.000
Li2 0.000 0.000 0.159
Li3 0.000 0.500 0.765
Li4 0.500 0.000 0.265
Li5 0.500 0.500 0.500
Li6 0.500 0.500 0.659
Ac1 0.000 0.000 0.596
Ac2 0.000 0.500 0.334
Ac3 0.500 0.000 0.834
Ac4 0.500 0.500 0.096
In1 0.000 0.500 0.925
In2 0.500 0.000 0.425

Summary:
Total magnetic moment ... 0.000 μB per cell
Formation energy ... -0.055 eV/atom
Crystal system ... orthorhombic
Space-group type ... Imm2 (44)
Final energy ... -2.838 eV/atom

---

Density functional theory data (PBE-GGA) for a relaxed BaLi2Ir crystal.

abc: 4.542 4.542 8.029
angles: 90.00 90.00 90.00
Atoms (fractional coordinates):
Ba1 0.000 0.000 0.000
Ba2 0.500 0.500 0.500
Li1 0.000 0.500 0.250
Li2 0.000 0.500 0.750
Li3 0.500 0.000 0.250
Li4 0.500 0.000 0.750
Ir1 0.000 0.000 0.500
Ir2 0.500 0.500 0.000

Summary:
Total magnetic moment ... 0.000 μB per cell
Formation energy ... 0.118 eV/atom
Crystal system ... tetragonal
Space-group type ... I4/mmm (139)
Final energy ... -3.535 eV/atom
Excess energy over the best structure of this formula in the dataset ... 0.088 eV per atom

---

Density functional theory data (PBE-GGA) for a relaxed AsBrCl crystal.

abc: 13.278 5.182 9.194
angles: 90.00 129.73 90.00
Atoms (fractional coordinates):
As1 0.086 0.000 0.183
As2 0.414 0.500 0.817
As3 0.586 0.500 0.183
As4 0.914 0.000 0.817
Br1 0.153 0.500 0.252
Br2 0.347 0.000 0.748
Br3 0.653 0.000 0.252
Br4 0.847 0.500 0.748
Cl1 0.064 0.000 0.786
Cl2 0.436 0.500 0.214
Cl3 0.564 0.500 0.786
Cl4 0.936 0.000 0.214

Summary:
Total magnetic moment ... 0.000 μB per cell
Crystal system ... monoclinic
Space-group type ... C2/m (12)
Final energy ... -3.153 eV/atom
Uncorrected formation energy ... -429.6 meV/atom
Excess energy over the best structure of this formula in the dataset ... 0.058 eV per atom

---

Density functional theory data (PBE-GGA) for a relaxed Rb2Cu2Cl5 crystal.

abc: 4.764 4.764 10.382
angles: 90.00 90.00 90.00
Atoms (fractional coordinates):
Rb1 0.000 0.000 0.000
Rb2 0.000 0.000 0.500
Cu1 0.500 0.500 0.239
Cu2 0.500 0.500 0.761
Cl1 0.000 0.500 0.275
Cl2 0.000 0.500 0.725
Cl3 0.500 0.000 0.275
Cl4 0.500 0.000 0.725
Cl5 0.500 0.500 0.000

Summary:
Total magnetic moment ... 0.000 μB per cell
Crystal system ... tetragonal
Space-group type ... P4/mmm (123)
Final energy ... -3.300 eV/atom
Uncorrected formation energy ... -1148.6 meV/atom
Excess energy over the best structure of this formula in the dataset ... 0.014 eV per atom

---

Density functional theory data (PBE-GGA) for a relaxed Tb5Y2Sc crystal.

abc: 8.391 7.198 6.667
angles: 74.37 55.70 49.93
Atoms (fractional coordinates):
Tb1 0.000 0.000 0.000
Tb2 0.084 0.084 0.416
Tb3 0.505 0.998 0.495
Tb4 0.584 0.584 0.916
Tb5 0.998 0.505 0.002
Y1 0.091 0.581 0.419
Y2 0.581 0.091 0.909
Sc1 0.501 0.501 0.499

Summary:
Total magnetic moment ... 0.000 μB per cell
Formation energy ... 0.019 eV/atom
Crystal system ... orthorhombic
Space-group type ... Fmm2 (42)
Final energy ... -5.282 eV/atom
Excess energy over the best structure of this formula in the dataset ... 0.000 eV per atom

---

Density functional theory data (PBE-GGA) for a relaxed Sr2MgZn crystal.

abc: 9.073 9.073 7.360
angles: 90.00 90.00 90.00
Atoms (fractional coordinates):
Sr1 0.213 0.250 0.125
Sr2 0.250 0.713 0.375
Sr3 0.250 0.787 0.875
Sr4 0.287 0.250 0.625
Sr5 0.713 0.750 0.625
Sr6 0.750 0.213 0.875
Sr7 0.750 0.287 0.375
Sr8 0.787 0.750 0.125
Mg1 0.000 0.000 0.500
Mg2 0.000 0.500 0.750
Mg3 0.500 0.000 0.250
Mg4 0.500 0.500 0.000
Zn1 0.000 0.000 0.000
Zn2 0.000 0.500 0.250
Zn3 0.500 0.000 0.750
Zn4 0.500 0.500 0.500

Summary:
Total magnetic moment ... 0.000 μB per cell
Formation energy ... 0.152 eV/atom
Crystal system ... tetragonal
Space-group type ... I-42d (122)
Final energy ... -1.406 eV/atom
Excess energy over the best structure of this formula in the dataset ... 0.271 eV per atom

---

Density functional theory data (PBE-GGA) for a relaxed Ba2Cd3Ge4Pb crystal.

abc: 4.932 4.932 11.248
angles: 90.00 90.00 90.00
Atoms (fractional coordinates):
Ba1 0.000 0.500 0.236
Ba2 0.500 0.000 0.764
Cd1 0.000 0.500 0.880
Cd2 0.500 0.000 0.120
Cd3 0.500 0.500 0.500
Ge1 0.000 0.000 0.000
Ge2 0.000 0.500 0.639
Ge3 0.500 0.000 0.361
Ge4 0.500 0.500 0.000
Pb1 0.000 0.000 0.500

Summary:
Total magnetic moment ... 0.000 μB per cell
Formation energy ... -0.279 eV/atom
Crystal system ... tetragonal
Space-group type ... P-4m2 (115)
Final energy ... -3.156 eV/atom

---

Density functional theory data (PBE-GGA) for a relaxed RbTiHSe2 crystal.

abc: 7.418 3.726 9.177
angles: 90.00 108.54 90.00
Atoms (fractional coordinates):
Rb1 0.164 0.250 0.302
Rb2 0.836 0.750 0.698
Ti1 0.355 0.250 0.836
Ti2 0.645 0.750 0.164
H1 0.106 0.250 0.788
H2 0.894 0.750 0.212
Se1 0.290 0.750 0.016
Se2 0.331 0.750 0.645
Se3 0.669 0.250 0.355
Se4 0.710 0.250 0.984

Summary:
Total magnetic moment ... 0.000 μB per cell
Crystal system ... monoclinic
Space-group type ... P2_1/m (11)
Final energy ... -4.748 eV/atom

---

Density functional theory data (PBE-GGA) for a relaxed USn2Pb crystal.

abc: 4.743 4.743 4.610
angles: 90.00 90.00 90.00
Atoms (fractional coordinates):
U1 0.000 0.000 0.000
Sn1 0.000 0.500 0.500
Sn2 0.500 0.000 0.500
Pb1 0.500 0.500 0.000

Summary:
Total magnetic moment ... 2.381 μB per cell
Formation energy ... -0.024 eV/atom
Crystal system ... tetragonal
Space-group type ... P4/mmm (123)
Final energy ... -5.774 eV/atom
Excess energy over the best structure of this formula in the dataset ... 0.000 eV per atom

---

Density functional theory data (PBE-GGA) for a relaxed Rb4Ce3HfTe8 crystal.

abc: 10.077 10.077 10.077
angles: 53.79 53.79 53.79
Atoms (fractional coordinates):
Rb1 0.000 0.000 0.000
Rb2 0.000 0.500 0.500
Rb3 0.500 0.000 0.500
Rb4 0.500 0.500 0.000
Ce1 0.000 0.000 0.500
Ce2 0.000 0.500 0.000
Ce3 0.500 0.000 0.000
Hf1 0.500 0.500 0.500
Te1 0.237 0.237 0.237
Te2 0.255 0.721 0.721
Te3 0.279 0.279 0.745
Te4 0.279 0.745 0.279
Te5 0.721 0.255 0.721
Te6 0.721 0.721 0.255
Te7 0.745 0.279 0.279
Te8 0.763 0.763 0.763

Summary:
Total magnetic moment ... 3.987 μB per cell
Crystal system ... trigonal
Space-group type ... R-3m (166)
Final energy ... -4.745 eV/atom
Uncorrected formation energy ... -1197.3 meV/atom

---

Density functional theory data (PBE-GGA) for a relaxed Sr2TcRu crystal.

abc: 3.306 3.306 29.327
angles: 90.00 90.00 120.00
Atoms (fractional coordinates):
Sr1 0.000 0.000 0.246
Sr2 0.000 0.000 0.754
Sr3 0.333 0.667 0.421
Sr4 0.333 0.667 0.913
Sr5 0.667 0.333 0.087
Sr6 0.667 0.333 0.579
Tc1 0.000 0.000 0.000
Tc2 0.333 0.667 0.667
Tc3 0.667 0.333 0.333
Ru1 0.000 0.000 0.500
Ru2 0.333 0.667 0.167
Ru3 0.667 0.333 0.833

Summary:
Total magnetic moment ... 4.119 μB per cell
Formation energy ... 1.135 eV/atom
Crystal system ... trigonal
Space-group type ... R-3m (166)
Final energy ... -4.617 eV/atom
Excess energy over the best structure of this formula in the dataset ... 0.958 eV per atom

---

Q: Number 10 is which compound?
A: Rb4Ce3HfTe8